# Y6Tl2C PBE-GGA relaxed
# Calculated density (Mg/m³): 6.65
# ΔE_f (eV per atom): -0.17
data_Y6Tl2C
_cell_length_a 8.6862
_cell_length_b 8.6862
_cell_length_c 3.6448
_cell_angle_alpha 90.00
_cell_angle_beta 90.00
_cell_angle_gamma 120.00
_symmetry_space_group_name_H-M 'P -6 2 m'
_symmetry_Int_Tables_number 189
_symmetry_space_group_name_Hall 'P -6 -2'
loop_
_atom_site_label
_atom_site_fract_x
_atom_site_fract_y
_atom_site_fract_z
Y1 0.0000 0.2148 0.0000
Y2 0.0000 0.5906 0.5000
Tl1 0.3333 0.6667 0.0000
C1 0.0000 0.0000 0.5000

# Y4TlC2 PBE-GGA relaxed
# Calculated density (Mg/m³): 5.93
# ΔE_f (eV per atom): -0.35
data_Y4TlC2
_cell_length_a 3.6250
_cell_length_b 3.6250
_cell_length_c 43.0975
_cell_angle_alpha 90.00
_cell_angle_beta 90.00
_cell_angle_gamma 120.00
_symmetry_space_group_name_H-M 'R -3 m'
_symmetry_Int_Tables_number 166
_symmetry_space_group_name_Hall '-R 3 2"'
loop_
_atom_site_label
_atom_site_fract_x
_atom_site_fract_y
_atom_site_fract_z
Y1 0.0000 0.0000 0.1241
Y2 0.0000 0.0000 0.2717
Tl1 0.0000 0.0000 0.0000
C1 0.0000 0.0000 0.4278

# YTlC2 PBE-GGA relaxed
# Calculated density (Mg/m³): 6.73
# Polymorph energy (0 for the lowest one) (meV per atom): 0
# ΔE_f (eV per atom): 1.28
data_YTlC2
_cell_length_a 5.0476
_cell_length_b 5.0476
_cell_length_c 12.2874
_cell_angle_alpha 90.00
_cell_angle_beta 90.00
_cell_angle_gamma 90.00
_symmetry_space_group_name_H-M 'I -4 2 d'
_symmetry_Int_Tables_number 122
_symmetry_space_group_name_Hall 'I -4 2bw'
loop_
_atom_site_label
_atom_site_fract_x
_atom_site_fract_y
_atom_site_fract_z
Y1 0.0000 0.0000 0.0000
Tl1 0.0000 0.0000 0.5000
C1 0.2369 0.2500 0.6250

# Tl3ZnC PBE-GGA relaxed
# Calculated density (Mg/m³): 8.78
# Polymorph energy (0 for the lowest one) (meV per atom): 0
# ΔE_f (eV per atom): 1.00
data_Tl3ZnC
_cell_length_a 5.0742
_cell_length_b 5.0742
_cell_length_c 5.0742
_cell_angle_alpha 90.00
_cell_angle_beta 90.00
_cell_angle_gamma 90.00
_symmetry_space_group_name_H-M 'P m -3 m'
_symmetry_Int_Tables_number 221
_symmetry_space_group_name_Hall '-P 4 2 3'
loop_
_atom_site_label
_atom_site_fract_x
_atom_site_fract_y
_atom_site_fract_z
Tl1 0.0000 0.0000 0.5000
Zn1 0.5000 0.5000 0.5000
C1 0.0000 0.0000 0.0000

# TlZn3C PBE-GGA relaxed
# Calculated density (Mg/m³): 4.81
# Polymorph energy (0 for the lowest one) (meV per atom): 1148
# ΔE_f (eV per atom): 1.81
data_TlZn3C
_cell_length_a 5.2213
_cell_length_b 5.2213
_cell_length_c 5.2213
_cell_angle_alpha 90.00
_cell_angle_beta 90.00
_cell_angle_gamma 90.00
_symmetry_space_group_name_H-M 'P m -3 m'
_symmetry_Int_Tables_number 221
_symmetry_space_group_name_Hall '-P 4 2 3'
loop_
_atom_site_label
_atom_site_fract_x
_atom_site_fract_y
_atom_site_fract_z
Tl1 0.0000 0.0000 0.0000
Zn1 0.0000 0.0000 0.5000
C1 0.5000 0.5000 0.5000

# Tl2ZnC PBE-GGA relaxed
# Calculated density (Mg/m³): 8.25
# Polymorph energy (0 for the lowest one) (meV per atom): 0
# ΔE_f (eV per atom): 1.09
data_Tl2ZnC
_cell_length_a 6.3219
_cell_length_b 6.3219
_cell_length_c 9.7961
_cell_angle_alpha 90.00
_cell_angle_beta 90.00
_cell_angle_gamma 90.00
_symmetry_space_group_name_H-M 'I -4 2 d'
_symmetry_Int_Tables_number 122
_symmetry_space_group_name_Hall 'I -4 2bw'
loop_
_atom_site_label
_atom_site_fract_x
_atom_site_fract_y
_atom_site_fract_z
Tl1 0.1759 0.2500 0.1250
Zn1 0.0000 0.0000 0.5000
C1 0.0000 0.0000 0.0000

# Tl3ZnC PBE-GGA relaxed
# Calculated density (Mg/m³): 7.52
# Polymorph energy (0 for the lowest one) (meV per atom): 461
# ΔE_f (eV per atom): 1.46
data_Tl3ZnC
_cell_length_a 5.3424
_cell_length_b 5.3424
_cell_length_c 5.3424
_cell_angle_alpha 90.00
_cell_angle_beta 90.00
_cell_angle_gamma 90.00
_symmetry_space_group_name_H-M 'P m -3 m'
_symmetry_Int_Tables_number 221
_symmetry_space_group_name_Hall '-P 4 2 3'
loop_
_atom_site_label
_atom_site_fract_x
_atom_site_fract_y
_atom_site_fract_z
Tl1 0.0000 0.0000 0.5000
Zn1 0.0000 0.0000 0.0000
C1 0.5000 0.5000 0.5000

# TlZn3C PBE-GGA relaxed
# Calculated density (Mg/m³): 8.29
# Polymorph energy (0 for the lowest one) (meV per atom): 0
# ΔE_f (eV per atom): 0.66
data_TlZn3C
_cell_length_a 4.3552
_cell_length_b 4.3552
_cell_length_c 4.3552
_cell_angle_alpha 90.00
_cell_angle_beta 90.00
_cell_angle_gamma 90.00
_symmetry_space_group_name_H-M 'P m -3 m'
_symmetry_Int_Tables_number 221
_symmetry_space_group_name_Hall '-P 4 2 3'
loop_
_atom_site_label
_atom_site_fract_x
_atom_site_fract_y
_atom_site_fract_z
Tl1 0.0000 0.0000 0.0000
Zn1 0.0000 0.5000 0.5000
C1 0.5000 0.5000 0.5000

# Tl2ZnC PBE-GGA relaxed
# Calculated density (Mg/m³): 9.82
# Polymorph energy (0 for the lowest one) (meV per atom): 293
# ΔE_f (eV per atom): 1.39
data_Tl2ZnC
_cell_length_a 6.9036
_cell_length_b 6.9036
_cell_length_c 6.9036
_cell_angle_alpha 90.00
_cell_angle_beta 90.00
_cell_angle_gamma 90.00
_symmetry_space_group_name_H-M 'F m -3 m'
_symmetry_Int_Tables_number 225
_symmetry_space_group_name_Hall '-F 4 2 3'
loop_
_atom_site_label
_atom_site_fract_x
_atom_site_fract_y
_atom_site_fract_z
Tl1 0.2500 0.2500 0.2500
Zn1 0.0000 0.0000 0.0000
C1 0.0000 0.0000 0.5000

# Zr3TlC PBE-GGA relaxed
# Calculated density (Mg/m³): 7.32
# ΔE_f (eV per atom): 0.03
data_Zr3TlC
_cell_length_a 3.8377
_cell_length_b 3.8377
_cell_length_c 17.4354
_cell_angle_alpha 90.00
_cell_angle_beta 90.00
_cell_angle_gamma 120.00
_symmetry_space_group_name_H-M 'P 63/m m c'
_symmetry_Int_Tables_number 194
_symmetry_space_group_name_Hall '-P 6c 2c'
loop_
_atom_site_label
_atom_site_fract_x
_atom_site_fract_y
_atom_site_fract_z
Zr1 0.0000 0.0000 0.2500
Zr2 0.3333 0.6667 0.1230
Tl1 0.0000 0.0000 0.0000
C1 0.3333 0.6667 0.2500

# Zr3TlC PBE-GGA relaxed
# Calculated density (Mg/m³): 8.32
# ΔE_f (eV per atom): -0.48
data_Zr3TlC
_cell_length_a 3.4379
_cell_length_b 12.1824
_cell_length_c 9.3362
_cell_angle_alpha 90.00
_cell_angle_beta 90.00
_cell_angle_gamma 90.00
_symmetry_space_group_name_H-M 'C m c m'
_symmetry_Int_Tables_number 63
_symmetry_space_group_name_Hall '-C 2c 2'
loop_
_atom_site_label
_atom_site_fract_x
_atom_site_fract_y
_atom_site_fract_z
Zr1 0.0000 0.0339 0.2500
Zr2 0.0000 0.3785 0.0400
Tl1 0.0000 0.2547 0.7500
C1 0.0000 0.0000 0.0000

# Zr3TlC PBE-GGA relaxed
# Calculated density (Mg/m³): 6.90
# ΔE_f (eV per atom): 0.50
data_Zr3TlC
_cell_length_a 3.8111
_cell_length_b 3.8111
_cell_length_c 8.1214
_cell_angle_alpha 90.00
_cell_angle_beta 90.00
_cell_angle_gamma 90.00
_symmetry_space_group_name_H-M 'P 4 m m'
_symmetry_Int_Tables_number 99
_symmetry_space_group_name_Hall 'P 4 -2'
loop_
_atom_site_label
_atom_site_fract_x
_atom_site_fract_y
_atom_site_fract_z
Zr1 0.0000 0.0000 0.0000
Zr2 0.0000 0.5000 0.7100
Tl1 0.0000 0.0000 0.3700
C1 0.5000 0.5000 0.8948